# 1
## Rb3NbBi (PBE)

Data for a relaxed Rb3NbBi crystal.

Output
The calculation puts the total energy at -0.0852 hartree per atom. Its polymorph energy (0 for the lowest one) is 0 meV per atom. The density of states at the Fermi level is 10.18 states/eV/f.u.

a b c (Å): 7.0926 7.0926 7.0926
angles (deg): 90.00 90.00 90.00
With the nearest neighbours (Å) after each atom.
Fractional positions:
Rb 0.0000 0.5000 0.0000  2 Bi 3.55
Nb 0.5000 0.5000 0.5000  12 Rb 5.02
Bi 0.0000 0.0000 0.0000  6 Rb 3.55
Rb 0.5000 0.0000 0.0000  2 Bi 3.55
Rb 0.0000 0.0000 0.5000  2 Bi 3.55


# 2
## RbNbBi2 (PBE)

Data for a relaxed RbNbBi2 crystal.

Output
The calculation puts the total energy at -0.1620 hartree per atom. Its polymorph energy (0 for the lowest one) is 0 meV per atom. The density of states at the Fermi level is 0.76 states/eV/f.u.

a b c (Å): 7.7656 7.7656 8.6407
angles (deg): 63.30 63.30 90.00
With the nearest neighbours (Å) after each atom.
Fractional positions:
Nb 0.0000 0.0000 0.0000  4 Bi 2.70
Nb 0.7500 0.2500 0.5000  4 Bi 2.70
Bi 0.3750 0.2369 0.7500  2 Nb 2.70
Bi 0.7631 0.1250 0.2500  2 Nb 2.70
Bi 0.9869 0.6250 0.2500  2 Nb 2.70
Bi 0.8750 0.0131 0.7500  2 Nb 2.70
Rb 0.2500 0.7500 0.5000  4 Bi 3.95
Rb 0.5000 0.5000 0.0000  4 Bi 3.95


# 3
## RbNbBi3 (PBE)

Data for a relaxed RbNbBi3 crystal.

Output
The calculation puts the total energy at -0.0908 hartree per atom. Its polymorph energy (0 for the lowest one) is 1977 meV per atom. The density of states at the Fermi level is 13.87 states/eV/f.u.

a b c (Å): 5.8495 5.8495 5.8495
angles (deg): 90.00 90.00 90.00
With the nearest neighbours (Å) after each atom.
Fractional positions:
Bi 0.0000 0.5000 0.0000  2 Rb 2.92
Nb 0.5000 0.5000 0.5000  12 Bi 4.14
Bi 0.5000 0.0000 0.0000  2 Rb 2.92
Bi 0.0000 0.0000 0.5000  2 Rb 2.92
Rb 0.0000 0.0000 0.0000  6 Bi 2.92


# 4
## RbNbBi3 (PBE)

Data for a relaxed RbNbBi3 crystal.

Output
The calculation puts the total energy at -0.1635 hartree per atom. Its polymorph energy (0 for the lowest one) is 0 meV per atom. The density of states at the Fermi level is 2.49 states/eV/f.u.

a b c (Å): 5.6311 5.6311 5.6311
angles (deg): 90.00 90.00 90.00
With the nearest neighbours (Å) after each atom.
Fractional positions:
Rb 0.5000 0.5000 0.5000  12 Bi 3.98
Bi 0.0000 0.5000 0.0000  2 Nb 2.82
Bi 0.0000 0.0000 0.5000  2 Nb 2.82
Bi 0.5000 0.0000 0.0000  2 Nb 2.82
Nb 0.0000 0.0000 0.0000  6 Bi 2.82


# 5
## RbNb3Bi (PBE)

Data for a relaxed RbNb3Bi crystal.

Output
The calculation puts the total energy at -0.1861 hartree per atom. Its polymorph energy (0 for the lowest one) is 0 meV per atom. The density of states at the Fermi level is 7.93 states/eV/f.u.

a b c (Å): 5.3720 5.3720 5.3720
angles (deg): 90.00 90.00 90.00
With the nearest neighbours (Å) after each atom.
Fractional positions:
Rb 0.5000 0.5000 0.5000  12 Nb 3.80
Nb 0.0000 0.0000 0.5000  2 Bi 2.69
Bi 0.0000 0.0000 0.0000  6 Nb 2.69
Nb 0.5000 0.0000 0.0000  2 Bi 2.69
Nb 0.0000 0.5000 0.0000  2 Bi 2.69


# 6
## Rb2NbBi (PBE)

Data for a relaxed Rb2NbBi crystal.

Output
The calculation puts the total energy at -0.1220 hartree per atom. The density of states at the Fermi level is 2.79 states/eV/f.u.

a b c (Å): 13.7026 13.7026 10.0835
angles (deg): 47.20 47.20 90.00
With the nearest neighbours (Å) after each atom.
Fractional positions:
Rb 0.7954 0.1250 0.2500  2 Bi 3.66
Nb 0.5000 0.5000 0.0000  2 Bi 2.79
Rb 0.9546 0.6250 0.2500  2 Bi 3.66
Bi 0.0000 0.0000 0.0000  2 Nb 2.79
Rb 0.3750 0.2046 0.7500  2 Bi 3.66
Bi 0.7500 0.2500 0.5000  2 Nb 2.79
Rb 0.8750 0.0454 0.7500  2 Bi 3.66
Nb 0.2500 0.7500 0.5000  2 Bi 2.79


# 7
## Rb6NbBi4 (PBE)

Data for a relaxed Rb6NbBi4 crystal.

Output
The calculation puts the total energy at -0.1140 hartree per atom. The density of states at the Fermi level is 12.79 states/eV/f.u.

a b c (Å): 9.2421 11.6402 11.6402
angles (deg): 120.00 90.00 90.00
With the nearest neighbours (Å) after each atom.
Fractional positions:
Bi 0.8409 0.2017 0.4034  1 Nb 2.79
Rb 0.1377 0.0591 0.5296  5 Bi 3.86-3.99, 1 Nb 4.09, 2 Rb 4.25
Nb 0.2480 0.6667 0.3333  4 Bi 2.77-2.79
Rb 0.1377 0.4704 0.5296  5 Bi 3.86-3.99, 1 Nb 4.09, 2 Rb 4.25
Bi 0.8409 0.2017 0.7983  1 Nb 2.79
Rb 0.6377 0.5296 0.0591  5 Bi 3.86-3.99, 1 Nb 4.09, 2 Rb 4.25
Rb 0.9535 0.8561 0.7122  4 Bi 3.77-3.82
Rb 0.1377 0.4704 0.9409  5 Bi 3.86-3.99, 1 Nb 4.09, 2 Rb 4.25
Bi 0.3409 0.7983 0.5966  1 Nb 2.79
Rb 0.9534 0.8561 0.1439  4 Bi 3.77-3.82
Rb 0.6377 0.9409 0.4704  5 Bi 3.86-3.99, 1 Nb 4.09, 2 Rb 4.25
Bi 0.8409 0.5966 0.7983  1 Nb 2.79
Rb 0.4535 0.1439 0.2878  4 Bi 3.77-3.82
Bi 0.9483 0.6667 0.3333  1 Nb 2.77
Bi 0.4483 0.3333 0.6667  1 Nb 2.77
Bi 0.3409 0.7983 0.2017  1 Nb 2.79
Rb 0.4534 0.7122 0.8561  4 Bi 3.77-3.82
Nb 0.7480 0.3333 0.6667  4 Bi 2.77-2.79
Bi 0.3409 0.4034 0.2017  1 Nb 2.79
Rb 0.6377 0.5296 0.4704  5 Bi 3.86-3.99, 1 Nb 4.09, 2 Rb 4.25
Rb 0.9534 0.2878 0.1439  4 Bi 3.77-3.82
Rb 0.4534 0.1439 0.8561  4 Bi 3.77-3.82


# 8
## RbNb3Bi (PBE)

Data for a relaxed RbNb3Bi crystal.

Output
The calculation puts the total energy at -0.1644 hartree per atom. Its polymorph energy (0 for the lowest one) is 591 meV per atom. The density of states at the Fermi level is 6.41 states/eV/f.u.

a b c (Å): 4.9162 4.9162 4.9162
angles (deg): 90.00 90.00 90.00
With the nearest neighbours (Å) after each atom.
Fractional positions:
Bi 0.5000 0.5000 0.5000  12 Nb 3.48
Nb 0.0000 0.0000 0.5000  2 Rb 2.46
Nb 0.0000 0.5000 0.0000  2 Rb 2.46
Nb 0.5000 0.0000 0.0000  2 Rb 2.46
Rb 0.0000 0.0000 0.0000  6 Nb 2.46


# 9
## Rb3NbBi3S8 (PBE)

Data for a relaxed Rb3NbBi3S8 crystal.

Output
The calculation puts the total energy at -0.1702 hartree per atom. The value obtained for the formation energy (no corrections) is -11.844 eV/f.u. The density of states at the Fermi level is 2.06 states/eV/f.u.

a b c (Å): 8.1320 8.1504 9.1298
angles (deg): 116.56 89.99 120.00
With the nearest neighbours (Å) after each atom.
Fractional positions:
S 0.2107 0.4216 0.6798  1 Nb 2.55, 2 Bi 2.84
Rb 0.0000 0.5000 0.0000  6 S 3.30-3.36
Rb 0.5000 0.5000 0.0000  6 S 3.30-3.36
S 0.2107 0.9692 0.6797  1 Nb 2.55, 2 Bi 2.84
S 0.7586 0.9694 0.6799  1 Nb 2.55, 2 Bi 2.84
S 0.7893 0.5784 0.3202  1 Nb 2.55, 2 Bi 2.84
S 0.2414 0.0306 0.3201  1 Nb 2.55, 2 Bi 2.84
S 0.7893 0.0308 0.3203  1 Nb 2.55, 2 Bi 2.84
Rb 0.0000 0.0000 0.0000  6 S 3.30-3.36
Nb 0.0000 0.0000 0.5000  6 S 2.55
S 0.7344 0.4689 0.7033  3 Bi 2.84
Bi 0.5000 0.0000 0.5000  6 S 2.84
Bi 0.0000 0.5000 0.5000  6 S 2.84
S 0.2656 0.5311 0.2967  3 Bi 2.84
Bi 0.5000 0.5000 0.5000  6 S 2.84


# 10
## Rb2NbBiS4 (PBE)

Data for a relaxed Rb2NbBiS4 crystal.

Output
The calculation puts the total energy at -0.1801 hartree per atom. The value obtained for the formation energy (no corrections) is -6.807 eV/f.u. The density of states at the Fermi level is 3.42 states/eV/f.u.

a b c (Å): 7.0068 7.0068 7.0068
angles (deg): 109.07 109.67 109.67
With the nearest neighbours (Å) after each atom.
Fractional positions:
S 0.3342 0.8482 0.8007  1 Nb 2.31
S 0.6658 0.4666 0.5141  1 Nb 2.31
Rb 0.5000 0.7500 0.2500  4 S 3.35
Rb 0.0000 0.0000 0.0000  4 S 3.39
S 0.0475 0.1993 0.5334  1 Nb 2.31
S 0.9525 0.4859 0.1518  1 Nb 2.31
Bi 0.5000 0.2500 0.7500  4 S 2.85
Nb 0.0000 0.5000 0.5000  4 S 2.31


# 11
## RbSrNb2Bi (PBE)

Data for a relaxed RbSrNb2Bi crystal.

Output
The calculation puts the total energy at -0.1224 hartree per atom. The density of states at the Fermi level is 5.08 states/eV/f.u.

a b c (Å): 5.0456 6.1840 5.0456
angles (deg): 90.00 90.00 90.00
With the nearest neighbours (Å) after each atom.
Fractional positions:
Rb 0.0000 0.0000 0.0000  4 Nb 2.52
Sr 0.5000 0.5000 0.5000  4 Bi 3.57, 8 Nb 3.99
Bi 0.0000 0.5000 0.0000  2 Rb 3.09
Nb 0.0000 0.0000 0.5000  2 Rb 2.52
Nb 0.5000 0.0000 0.0000  2 Rb 2.52


# 12
## RbTa2NbBi (PBE)

Data for a relaxed RbTa2NbBi crystal.

Output
The calculation puts the total energy at -0.1795 hartree per atom. The density of states at the Fermi level is 4.84 states/eV/f.u.

a b c (Å): 4.9400 4.8774 4.9400
angles (deg): 90.00 90.00 90.00
With the nearest neighbours (Å) after each atom.
Fractional positions:
Rb 0.0000 0.0000 0.0000  2 Nb 2.44, 4 Ta 2.47
Bi 0.5000 0.5000 0.5000  8 Ta 3.47, 4 Nb 3.49
Ta 0.0000 0.0000 0.5000  2 Rb 2.47
Nb 0.0000 0.5000 0.0000  2 Rb 2.44
Ta 0.5000 0.0000 0.0000  2 Rb 2.47